# TiBeNO2 (GGA-PBE, optimized geometry)
# - ρ (g cm⁻³) = 3.0
# - M_tot (μB per formula unit) = 0.321
# - total energy (eV for the cell shown) = -33.17
# - D(E_F) (states/eV/f.u.) = 2.463
# - crystal system = tetragonal
data_TiBeNO2
_chemical_formula_sum 'Ti1 Be1 N1 O2'
_cell_length_a 3.7884
_cell_length_b 3.7884
_cell_length_c 3.9510
_cell_angle_alpha 90.00
_cell_angle_beta 90.00
_cell_angle_gamma 90.00
_symmetry_space_group_name_H-M 'P 4/m m m'
_symmetry_Int_Tables_number 123
_symmetry_space_group_name_Hall '-P 4 2'
loop_
_atom_site_label
_atom_site_type_symbol
_atom_site_fract_x
_atom_site_fract_y
_atom_site_fract_z
Ti1 Ti 0.0000 0.0000 0.0000
Be1 Be 0.5000 0.5000 0.5000
N1 N 0.0000 0.0000 0.5000
O1 O 0.0000 0.5000 0.0000